Entry 1:
## BaTlSn3 (PBE)

Data for an optimized crystal structure of BaTlSn3.

Computed properties:
energy above the lowest structure with this stoichiometry = 1051.7 meV per atom
magnetic moment = 0.0 μB/cell
formation energy = 0.77 eV/atom
final energy = -12.44 eV per cell

Structure (CIF):
```
data_BaTlSn3
_cell_length_a 6.2445
_cell_length_b 6.2445
_cell_length_c 6.2445
_cell_angle_alpha 90.00
_cell_angle_beta 90.00
_cell_angle_gamma 90.00
_symmetry_space_group_name_H-M 'P 1'
_symmetry_Int_Tables_number 1
loop_
_symmetry_equiv_pos_as_xyz
'x,y,z'
loop_
_atom_site_label
_atom_site_fract_x
_atom_site_fract_y
_atom_site_fract_z
Sn1 0.5000 0.0000 0.0000
Sn2 0.0000 0.5000 0.0000
Sn3 0.0000 0.0000 0.5000
Ba1 0.0000 0.0000 0.0000
Tl1 0.5000 0.5000 0.5000
```

Entry 2:
## Sc4TeP3 (PBE)

Data for an optimized crystal structure of Sc4TeP3.

Computed properties:
E_form (uncorrected) = -1.47 eV/atom
magnetic moment = 0.0 μB/cell
final energy = -112.93 eV per cell

Structure (CIF):
```
data_Sc4TeP3
_cell_length_a 3.8428
_cell_length_b 3.8428
_cell_length_c 25.3105
_cell_angle_alpha 90.00
_cell_angle_beta 90.00
_cell_angle_gamma 120.00
_symmetry_space_group_name_H-M 'P 1'
_symmetry_Int_Tables_number 1
loop_
_symmetry_equiv_pos_as_xyz
'x,y,z'
loop_
_atom_site_label
_atom_site_fract_x
_atom_site_fract_y
_atom_site_fract_z
P1 0.6667 0.3333 0.1186
P2 0.0000 0.0000 0.0000
P3 0.3333 0.6667 0.8814
P4 0.3333 0.6667 0.6186
P5 0.6667 0.3333 0.3814
P6 0.0000 0.0000 0.5000
Sc1 0.0000 0.0000 0.8284
Sc2 0.3333 0.6667 0.4427
Sc3 0.6667 0.3333 0.9427
Sc4 0.0000 0.0000 0.3284
Sc5 0.0000 0.0000 0.1716
Sc6 0.0000 0.0000 0.6716
Sc7 0.6667 0.3333 0.5573
Sc8 0.3333 0.6667 0.0573
Te1 0.3333 0.6667 0.2500
Te2 0.6667 0.3333 0.7500
```

Entry 3:
## LaCu2B (PBE)

Data for an optimized crystal structure of LaCu2B.

Computed properties:
magnetic moment = 0.0 μB/cell
formation energy = 0.07 eV/atom
final energy = -39.01 eV per cell

Structure (CIF):
```
data_LaCu2B
_cell_length_a 4.6225
_cell_length_b 4.6225
_cell_length_c 7.5963
_cell_angle_alpha 72.29
_cell_angle_beta 72.29
_cell_angle_gamma 90.00
_symmetry_space_group_name_H-M 'P 1'
_symmetry_Int_Tables_number 1
loop_
_symmetry_equiv_pos_as_xyz
'x,y,z'
loop_
_atom_site_label
_atom_site_fract_x
_atom_site_fract_y
_atom_site_fract_z
B1 0.2500 0.7500 0.5000
B2 0.5000 0.5000 0.0000
Cu1 0.8750 0.6246 0.7500
Cu2 0.3746 0.1250 0.2500
Cu3 0.3754 0.6250 0.2500
Cu4 0.3750 0.6254 0.7500
La1 0.0000 0.0000 0.0000
La2 0.7500 0.2500 0.5000
```

Entry 4:
## AcTbRu (PBE)

Data for an optimized crystal structure of AcTbRu.

Computed properties:
energy above the lowest structure with this stoichiometry = 0.0 meV per atom
magnetic moment = 0.0 μB/cell
formation energy = -0.22 eV/atom
final energy = -37.35 eV per cell

Structure (CIF):
```
data_AcTbRu
_cell_length_a 4.8235
_cell_length_b 4.8223
_cell_length_c 7.1792
_cell_angle_alpha 89.99
_cell_angle_beta 90.00
_cell_angle_gamma 90.00
_symmetry_space_group_name_H-M 'P 1'
_symmetry_Int_Tables_number 1
loop_
_symmetry_equiv_pos_as_xyz
'x,y,z'
loop_
_atom_site_label
_atom_site_fract_x
_atom_site_fract_y
_atom_site_fract_z
Tb1 0.3136 0.8665 0.9196
Tb2 0.8136 0.3665 0.9196
Ac1 0.8136 0.8664 0.5420
Ac2 0.3136 0.3665 0.2972
Ru1 0.8135 0.8664 0.1511
Ru2 0.3137 0.3666 0.6881
```

> What is the final energy in the third record?

-39.01 eV per cell

> What is the formula in the first record?

BaTlSn3